First-principles (PBEsol) data for LiSiAsOs2 after structural relaxation, as listed in Alexandria via LeMat-Bulk.

Calculated values
- Calculated density: 9.92 g cm⁻³
- Space group: P4/mmm (123)
- Size of the total moment: 0.00 μB/cell
- E_tot: -32.71 eV per cell

Lattice parameters (Å, degrees): 4.414 4.414 4.212 90.00 90.00 90.00
Element x y z (fractional)
Li (0.000, 0.000, 0.000)
Si (0.000, 0.000, 0.500)
As (0.500, 0.500, 0.000)
Os (0.000, 0.500, 0.500)
Os (0.500, 0.000, 0.500)

***

First-principles (PBEsol) data for KTl2Bi after structural relaxation, as listed in Alexandria via LeMat-Bulk.

Calculated values
- Calculated density: 8.74 g cm⁻³
- Space group: Fm-3m (225)
- Size of the total moment: 0.00 μB/cell
- Formation energy from the elements: -0.199 eV/atom
- E_tot: -11.48 eV per cell

Lattice parameters (Å, degrees): 5.609 5.609 5.609 60.00 60.00 60.00
Element x y z (fractional)
K (0.000, 0.000, 0.000)
Tl (0.250, 0.250, 0.250)
Tl (0.750, 0.750, 0.750)
Bi (0.500, 0.500, 0.500)

***

First-principles (PBEsol) data for K3NbCl after structural relaxation, as listed in Alexandria via LeMat-Bulk.

Calculated values
- Calculated density: 1.45 g cm⁻³
- Space group: Pm-3m (221)
- Size of the total moment: 5.05 μB/cell
- E_tot: -12.69 eV per cell

Lattice parameters (Å, degrees): 6.557 6.557 6.557 90.00 90.00 90.00
Element x y z (fractional)
K (0.000, 0.000, 0.500)
K (0.000, 0.500, 0.000)
K (0.500, 0.000, 0.000)
Nb (0.000, 0.000, 0.000)
Cl (0.500, 0.500, 0.500)

***

First-principles (PBEsol) data for Cd2InHg after structural relaxation, as listed in Alexandria via LeMat-Bulk.

Calculated values
- Calculated density: 10.08 g cm⁻³
- Space group: Pmmm (47)
- Size of the total moment: 0.00 μB/cell
- Formation energy from the elements: 0.010 eV/atom
- E_tot: -5.90 eV per cell

Lattice parameters (Å, degrees): 3.368 4.355 6.069 90.00 90.00 90.00
Element x y z (fractional)
Cd (0.000, 0.000, 0.246)
Cd (0.000, 0.000, 0.754)
In (0.500, 0.500, 0.500)
Hg (0.500, 0.500, 0.000)

***

First-principles (PBEsol) data for Hf2Al4C5 after structural relaxation, as listed in Alexandria via LeMat-Bulk.

Calculated values
- Calculated density: 6.78 g cm⁻³
- Space group: R-3m (166)
- Size of the total moment: 0.00 μB/cell
- Formation energy from the elements: -0.428 eV/atom
- E_tot: -90.30 eV per cell

Lattice parameters (Å, degrees): 13.690 13.690 13.690 13.88 13.88 13.88
Element x y z (fractional)
Hf (0.134, 0.134, 0.134)
Hf (0.866, 0.866, 0.866)
Al (0.311, 0.311, 0.311)
Al (0.412, 0.412, 0.412)
Al (0.588, 0.588, 0.588)
Al (0.689, 0.689, 0.689)
C (0.232, 0.232, 0.232)
C (0.364, 0.364, 0.364)
C (0.500, 0.500, 0.500)
C (0.636, 0.636, 0.636)
C (0.768, 0.768, 0.768)

***

First-principles (PBEsol) data for CsCr2Mo after structural relaxation, as listed in Alexandria via LeMat-Bulk.

Calculated values
- Calculated density: 7.00 g cm⁻³
- Space group: Fm-3m (225)
- Size of the total moment: 4.90 μB/cell
- Formation energy from the elements: 1.945 eV/atom
- E_tot: -25.41 eV per cell

Lattice parameters (Å, degrees): 4.816 4.816 4.816 60.00 60.00 60.00
Element x y z (fractional)
Cs (0.000, 0.000, 0.000)
Cr (0.250, 0.250, 0.250)
Cr (0.750, 0.750, 0.750)
Mo (0.500, 0.500, 0.500)

***

First-principles (PBEsol) data for TlGe3Os after structural relaxation, as listed in Alexandria via LeMat-Bulk.

Calculated values
- Calculated density: 7.88 g cm⁻³
- Space group: Pm-3m (221)
- Size of the total moment: 2.03 μB/cell
- Formation energy from the elements: 2.157 eV/atom
- E_tot: -18.88 eV per cell

Lattice parameters (Å, degrees): 5.053 5.053 5.053 90.00 90.00 90.00
Element x y z (fractional)
Tl (0.000, 0.000, 0.000)
Ge (0.000, 0.000, 0.500)
Ge (0.000, 0.500, 0.000)
Ge (0.500, 0.000, 0.000)
Os (0.500, 0.500, 0.500)

***

First-principles (PBEsol) data for Nb2ZnCrP after structural relaxation, as listed in Alexandria via LeMat-Bulk.

Calculated values
- Calculated density: 6.26 g cm⁻³
- Space group: P4/mmm (123)
- Size of the total moment: 0.00 μB/cell
- Formation energy from the elements: 0.693 eV/atom
- E_tot: -35.79 eV per cell

Lattice parameters (Å, degrees): 4.603 4.603 4.181 90.00 90.00 90.00
Element x y z (fractional)
Nb (0.000, 0.500, 0.000)
Nb (0.500, 0.000, 0.000)
Zn (0.000, 0.000, 0.500)
Cr (0.500, 0.500, 0.000)
P (0.500, 0.500, 0.500)

***

> calculated density of number 6 (CsCr2Mo)?

7.00 g cm⁻³

***

> Among the records above, which one has the highest calculated density?

Cd2InHg